DFT (PBE+U) results for a relaxed LiMgCoO2 crystal.

Properties
Total magnetization (μB per atom): 0.43
Density (Mg/m³): 3.8
V (Å³/cell): 54
Energy (eV per atom): -3.88
Crystal system: tetragonal

abc: 3.859 3.600 3.859
angles: 90.00 90.00 90.00
Each line ends with the local moment (μB).
Atoms (fractional coordinates):
Mg 0.500 0.500 0.500  -0.01
O 0.500 0.000 0.000  0.10
O 0.000 0.000 0.500  0.12
Co 0.000 0.500 0.000  1.98
Li 0.000 0.000 0.000  -0.03